1.
DFT (PBE) results for Y2Er5Co4 after structural relaxation.

Values from the calculation:
The total energy is -0.426 Ry per atom. The density of states at the Fermi level is 0.736 states/eV/atom. The value obtained for the formation energy is 0.031 eV/atom.

Unit cell a=6.746 b=6.746 c=8.882 alpha=123.15 beta=123.15 gamma=56.72
Positions (direct):
Y 0.218 0.218 0.131
Y 0.782 0.782 0.869
Er 0.173 0.688 0.610
Er 0.312 0.827 0.390
Er 0.500 0.500 0.000
Er 0.688 0.173 0.610
Er 0.827 0.312 0.390
Co 0.176 0.176 0.799
Co 0.280 0.280 0.659
Co 0.720 0.720 0.341
Co 0.824 0.824 0.201

2.
DFT (PBE) results for YEr2Co after structural relaxation.

Values from the calculation:
The total energy is -0.403 Ry per atom. The density of states at the Fermi level is 0.886 states/eV/atom. The polymorph energy (0 for the lowest one) is 0.371 eV/atom. The value obtained for the formation energy is 0.197 eV/atom.

Unit cell a=4.481 b=4.481 c=17.855 alpha=90.00 beta=90.00 gamma=120.00
Positions (direct):
Y 0.000 0.000 0.000
Y 0.333 0.667 0.667
Y 0.667 0.333 0.333
Er 0.000 0.000 0.217
Er 0.000 0.000 0.783
Er 0.333 0.667 0.450
Er 0.333 0.667 0.884
Er 0.667 0.333 0.116
Er 0.667 0.333 0.550
Co 0.000 0.000 0.500
Co 0.333 0.667 0.167
Co 0.667 0.333 0.833

3.
DFT (PBE) results for YErCo10 after structural relaxation.

Values from the calculation:
The total energy is -0.511 Ry per atom. The density of states at the Fermi level is 1.567 states/eV/atom. The value obtained for the formation energy is -0.114 eV/atom.

Unit cell a=3.945 b=4.910 c=8.513 alpha=90.00 beta=90.00 gamma=90.00
Positions (direct):
Y 0.000 0.000 0.000
Er 0.000 0.500 0.500
Co 0.000 0.000 0.336
Co 0.000 0.000 0.664
Co 0.000 0.500 0.170
Co 0.000 0.500 0.830
Co 0.500 0.000 0.500
Co 0.500 0.250 0.251
Co 0.500 0.250 0.749
Co 0.500 0.500 0.000
Co 0.500 0.750 0.251
Co 0.500 0.750 0.749